This record from the Alexandria database describes a relaxed Ba3GaPd2 crystal. The functional is GGA-PBE.

It has space group Pnma (No. 62), with a = 12.889 Å, b = 4.633 Å, c = 13.567 Å, α = 90.00°, β = 90.00° and γ = 90.00°. The inequivalent atoms are Ba at (0.067, 0.250, 0.115), Ba at (0.124, 0.750, 0.549), Ba at (0.193, 0.250, 0.799), Ga at (0.125, 0.250, 0.359), Pd at (0.049, 0.750, 0.316) and Pd at (0.204, 0.750, 0.966).

The energy relative to the elements comes out at -0.5059 eV per atom.